# NaTe2WO8

A relaxed NaTe2WO8 crystal (GGA+U, the Alexandria database).

Cell: 4.9929 4.9929 6.7359 Å, 93.05 93.05 85.86°
Positions (direct):
Na: 0.0000 0.0000 0.0000
Te: 0.4806 0.4806 0.7557
Te: 0.5194 0.5194 0.2443
W: 0.0000 0.0000 0.5000
O: 0.1742 0.7854 0.7098
O: 0.2146 0.8258 0.2902
O: 0.2685 0.2685 0.5472
O: 0.3254 0.3254 0.9732
O: 0.6746 0.6746 0.0268
O: 0.7315 0.7315 0.4528
O: 0.7854 0.1742 0.7098
O: 0.8258 0.2146 0.2902

Results
- Size of the total moment: 0.0 μB per cell
- Calculated total energy: -5.90 eV per atom